(1)
The following is a DFT calculation (PBE) of an optimized crystal structure of FeRh4.

Cell: 5.4401 5.2468 5.3428 Å, 90.00 105.19 90.00°
With the nearest neighbours (Å) after each atom.
Fractional coordinates of all 10 atoms:
Fe 0.0000 0.0000 0.0000  8 Rh 2.45-2.48
Fe 0.0000 0.5000 0.5000  8 Rh 2.45-2.48
Rh 0.2842 0.1793 0.7574  2 Fe 2.45, 4 Rh 2.65-2.70
Rh 0.2842 0.3207 0.2574  2 Fe 2.45, 4 Rh 2.65-2.70
Rh 0.2889 0.6731 0.9037  2 Fe 2.47-2.48, 4 Rh 2.65-2.70
Rh 0.2889 0.8269 0.4037  2 Fe 2.47-2.48, 4 Rh 2.65-2.70
Rh 0.7111 0.1731 0.5963  2 Fe 2.47-2.48, 4 Rh 2.65-2.70
Rh 0.7111 0.3269 0.0963  2 Fe 2.47-2.48, 4 Rh 2.65-2.70
Rh 0.7158 0.6793 0.7426  2 Fe 2.45, 4 Rh 2.65-2.70
Rh 0.7158 0.8207 0.2426  2 Fe 2.45, 4 Rh 2.65-2.70

Computed properties:
The calculation puts the energy above the lowest structure with this stoichiometry at 0.294 eV per atom. The energy comes out at -36.5 eV per formula unit. As for the energy of formation: 280.3 meV per atom. The value obtained for the density is 10.55 g/cm3.

***

(2)
The following is a DFT calculation (PBE) of an optimized crystal structure of Fe4Rh.

Cell: 7.6402 7.6402 7.6402 Å, 158.04 158.04 31.26°
With the nearest neighbours (Å) after each atom.
Fractional coordinates of all 5 atoms:
Fe 0.1066 0.1066 0.0000  4 Fe 2.50, 4 Rh 2.59
Fe 0.2975 0.2975 0.0000  8 Fe 2.49-2.50
Fe 0.7025 0.7025 0.0000  8 Fe 2.49-2.50
Fe 0.8934 0.8934 0.0000  4 Fe 2.50, 4 Rh 2.59
Rh 0.5000 0.5000 0.0000  8 Fe 2.59

Computed properties:
The calculation puts the energy above the lowest structure with this stoichiometry at 0.001 eV per atom. The energy comes out at -41.4 eV per formula unit. As for the energy of formation: -29.8 meV per atom. The value obtained for the density is 8.69 g/cm3.

***

(3)
The following is a DFT calculation (PBE) of an optimized crystal structure of FeRh.

Cell: 3.6302 3.6302 6.1620 Å, 90.00 90.00 120.00°
With the nearest neighbours (Å) after each atom.
Fractional coordinates of all 4 atoms:
Fe 0.3333 0.6667 0.0000  4 Rh 2.25-2.26
Fe 0.6667 0.3333 0.5000  4 Rh 2.25-2.26
Rh 0.3333 0.6667 0.3669  4 Fe 2.25-2.26
Rh 0.6667 0.3333 0.8669  4 Fe 2.25-2.26

Computed properties:
The energy comes out at -13.6 eV per formula unit. As for the energy of formation: 1102.4 meV per atom. The value obtained for the density is 7.50 g/cm3.

***

(4)
The following is a DFT calculation (PBE) of an optimized crystal structure of FeRh.

Cell: 2.6744 3.8088 7.8025 Å, 90.00 95.71 90.00°
With the nearest neighbours (Å) after each atom.
Fractional coordinates of all 6 atoms:
Fe 0.0000 0.0000 0.0000  6 Fe 2.47-2.67, 2 Rh 2.51
Fe 0.4244 0.5000 0.1555  5 Fe 2.47-2.67, 5 Rh 2.61-2.69
Fe 0.5756 0.5000 0.8445  5 Fe 2.47-2.67, 5 Rh 2.61-2.69
Rh 0.0565 0.0000 0.6807  5 Fe 2.51-2.69, 7 Rh 2.67-2.81
Rh 0.5000 0.5000 0.5000  10 Rh 2.67-2.72, 2 Fe 2.68
Rh 0.9435 0.0000 0.3193  5 Fe 2.51-2.69, 7 Rh 2.67-2.81

Computed properties:
The energy comes out at -15.8 eV per formula unit. As for the energy of formation: 22.8 meV per atom. The value obtained for the density is 10.00 g/cm3.

***

no.,volume (A^3/atom)
1,14.72
2,12.47
3,17.58
4,13.18